# LiCrTcIr

A relaxed LiCrTcIr crystal (PBE, Alexandria).

abc: 4.1574 4.1574 4.1574
angles: 60.00 60.00 60.00
Closest atoms and distances in Å follow each position.
Fractional coordinates of all 4 atoms:
Li  0.0000  0.0000  0.0000  4 Ir 2.55, 4 Tc 2.55
Cr  0.5000  0.5000  0.5000  4 Tc 2.55, 4 Ir 2.55
Tc  0.7500  0.7500  0.7500  4 Cr 2.55, 4 Li 2.55
Ir  0.2500  0.2500  0.2500  4 Cr 2.55, 4 Li 2.55

**Energy of formation**: -0.0192 eV per atom
**Space-group type**: No. 216
**Final energy**: -7.71 eV/atom

# LiZnCrIr

A relaxed LiZnCrIr crystal (PBE, Alexandria).

abc: 4.1800 4.1800 4.1800
angles: 60.00 60.00 60.00
Closest atoms and distances in Å follow each position.
Fractional coordinates of all 4 atoms:
Li  0.0000  0.0000  0.0000  4 Cr 2.56, 4 Zn 2.56
Zn  0.2500  0.2500  0.2500  4 Li 2.56, 4 Ir 2.56
Cr  0.7500  0.7500  0.7500  4 Li 2.56, 4 Ir 2.56
Ir  0.5000  0.5000  0.5000  4 Cr 2.56, 4 Zn 2.56

**Energy of formation**: -0.1124 eV per atom
**Space-group type**: No. 216
**Final energy**: -5.53 eV/atom

# LuScCrIr

A relaxed LuScCrIr crystal (PBE, Alexandria).

abc: 4.7304 4.7304 4.7304
angles: 60.00 60.00 60.00
Closest atoms and distances in Å follow each position.
Fractional coordinates of all 4 atoms:
Lu  0.0000  0.0000  0.0000  4 Cr 2.90, 4 Ir 2.90
Sc  0.5000  0.5000  0.5000  4 Cr 2.90, 4 Ir 2.90
Cr  0.7500  0.7500  0.7500  4 Sc 2.90, 4 Lu 2.90
Ir  0.2500  0.2500  0.2500  4 Sc 2.90, 4 Lu 2.90

**Energy of formation**: -0.3845 eV per atom
**Space-group type**: No. 216
**Final energy**: -7.72 eV/atom

# MgCr2Ir

A relaxed MgCr2Ir crystal (PBE, Alexandria).

abc: 5.0102 5.0102 5.0102
angles: 145.51 127.26 64.56
Closest atoms and distances in Å follow each position.
Fractional coordinates of all 4 atoms:
Mg  0.0000  0.0000  0.0000  8 Cr 2.68-2.94, 4 Ir 2.71-2.97, 2 Mg 2.97
Cr  0.2726  0.7726  0.5000  2 Cr 2.30
Cr  0.4796  0.4796  0.0000  2 Cr 2.30
Ir  0.7324  0.2324  0.5000  6 Cr 2.61-2.70, 2 Mg 2.71

**Energy of formation**: 0.0606 eV per atom
**Space-group type**: No. 44
**Final energy**: -7.36 eV/atom

# Mg2CrIr2

A relaxed Mg2CrIr2 crystal (PBE, Alexandria).

abc: 6.3886 6.3886 4.1916
angles: 90.00 90.00 90.00
Closest atoms and distances in Å follow each position.
Fractional coordinates of all 10 atoms:
Mg  0.1696  0.3304  0.0000  6 Ir 2.73-2.88
Mg  0.3304  0.8304  0.0000  6 Ir 2.73-2.88
Mg  0.6696  0.1696  0.0000  6 Ir 2.73-2.88
Mg  0.8304  0.6696  0.0000  6 Ir 2.73-2.88
Cr  0.0000  0.0000  0.5000  4 Ir 2.48
Cr  0.5000  0.5000  0.5000  4 Ir 2.48
Ir  0.1375  0.6375  0.5000  2 Cr 2.48, 1 Ir 2.49, 2 Mg 2.73
Ir  0.3625  0.1375  0.5000  2 Cr 2.48, 1 Ir 2.49, 2 Mg 2.73
Ir  0.6375  0.8625  0.5000  2 Cr 2.48, 1 Ir 2.49, 2 Mg 2.73
Ir  0.8625  0.3625  0.5000  2 Cr 2.48, 1 Ir 2.49, 2 Mg 2.73

**Energy of formation**: -0.1018 eV per atom
**Space-group type**: No. 127
**Final energy**: -6.21 eV/atom

# MgCrIr2

A relaxed MgCrIr2 crystal (PBE, Alexandria).

abc: 5.1747 5.1747 5.1747
angles: 147.37 126.64 63.96
Closest atoms and distances in Å follow each position.
Fractional coordinates of all 4 atoms:
Mg  0.0000  0.0000  0.0000  4 Cr 2.74, 4 Ir 2.75, 2 Mg 2.91
Cr  0.5000  0.5000  0.0000  4 Ir 2.52, 4 Mg 2.74
Ir  0.2654  0.7654  0.5000  2 Cr 2.52, 2 Mg 2.75, 4 Ir 2.75
Ir  0.7346  0.2346  0.5000  2 Cr 2.52, 2 Mg 2.75, 4 Ir 2.75

**Energy of formation**: -0.0041 eV per atom
**Space-group type**: No. 71
**Final energy**: -7.24 eV/atom